A PBEsol-optimized structure of MnHW3. Source: Alexandria via LeMat-Bulk, functional meta-GGA SCAN.

Lattice parameters (Å, degrees): 3.948 3.948 3.948 90.00 90.00 90.00
Space group Pm-3m (No. 221)
Unique sites:
Mn 0.000 0.000 0.000 (multiplicity 1)
H 0.500 0.500 0.500 (multiplicity 1)
W 0.000 0.500 0.500 (multiplicity 3)

Results
VASP energy, eV/atom: -45.83

---

A PBEsol-optimized structure of Ta2Be17. Source: Alexandria via LeMat-Bulk, functional meta-GGA SCAN.

Lattice parameters (Å, degrees): 7.3239 7.3239 10.6565 90.00 90.00 120.00
Space group R-3m (No. 166, hexagonal axes)
Unique sites:
Ta 0.0000 0.0000 0.1595 (multiplicity 6)
Be 0.0000 0.0000 0.4010 (multiplicity 6)
Be 0.0000 0.2955 0.5000 (multiplicity 18)
Be 0.0000 0.5000 0.0000 (multiplicity 9)
Be 0.0054 0.5027 0.6556 (multiplicity 18)

Results
E_form, kJ/mol of formula units: -284

---

A PBEsol-optimized structure of Fe2OsRh. Source: Alexandria via LeMat-Bulk, functional meta-GGA SCAN.

Lattice parameters (Å, degrees): 5.210 8.471 2.569 90.00 115.03 90.00
Space group C2/m (No. 12)
Unique sites:
Fe 0.250 0.250 0.000 (multiplicity 4)
Os 0.000 0.000 0.500 (multiplicity 2)
Rh 0.000 0.500 0.500 (multiplicity 2)

Results
Polymorph energy (0 for the lowest one), eV/atom: 0.084
E_form, kJ/mol of formula units: 38

---

A PBEsol-optimized structure of Y6Co2Sn. Source: Alexandria via LeMat-Bulk, functional meta-GGA SCAN.

Lattice parameters (Å, degrees): 9.291 9.533 9.804 90.00 90.00 90.00
Space group Immm (No. 71)
Unique sites:
Y 0.000 0.207 0.236 (multiplicity 8)
Y 0.187 0.500 0.175 (multiplicity 8)
Y 0.216 0.317 0.500 (multiplicity 8)
Co 0.000 0.341 0.000 (multiplicity 4)
Co 0.000 0.500 0.387 (multiplicity 4)
Sn 0.000 0.000 0.000 (multiplicity 2)
Sn 0.000 0.000 0.500 (multiplicity 2)

Results
E_form, kJ/mol of formula units: -279

---

A PBEsol-optimized structure of Be2CuBr. Source: Alexandria via LeMat-Bulk, functional meta-GGA SCAN.

Lattice parameters (Å, degrees): 3.434 3.434 9.968 90.00 90.00 90.00
Space group I4/mmm (No. 139)
Unique sites:
Be 0.000 0.500 0.250 (multiplicity 4)
Cu 0.000 0.000 0.000 (multiplicity 2)
Br 0.000 0.000 0.500 (multiplicity 2)

Results
Polymorph energy (0 for the lowest one), eV/atom: 0.783

---

A PBEsol-optimized structure of Mg2GaH2. Source: Alexandria via LeMat-Bulk, functional meta-GGA SCAN.

Lattice parameters (Å, degrees): 3.184 3.184 12.579 90.00 90.00 90.00
Space group I4/mmm (No. 139)
Unique sites:
Mg 0.000 0.000 0.156 (multiplicity 4)
Ga 0.000 0.000 0.500 (multiplicity 2)
H 0.000 0.500 0.250 (multiplicity 4)

Results
VASP energy, eV/atom: -6.79

---

A PBEsol-optimized structure of Sr4Cu. Source: Alexandria via LeMat-Bulk, functional meta-GGA SCAN.

Lattice parameters (Å, degrees): 10.114 10.114 3.922 90.00 90.00 90.00
Space group I4/m (No. 87)
Unique sites:
Sr 0.064 0.748 0.000 (multiplicity 8)
Cu 0.000 0.000 0.500 (multiplicity 2)

Results
Polymorph energy (0 for the lowest one), eV/atom: 0.000
E_form, kJ/mol of formula units: 31

---

A PBEsol-optimized structure of CaCuO2. Source: Alexandria via LeMat-Bulk, functional meta-GGA SCAN.

Lattice parameters (Å, degrees): 3.819 3.819 3.145 90.00 90.00 90.00
Space group P4/mmm (No. 123)
Unique sites:
Ca 0.000 0.000 0.000 (multiplicity 1)
Cu 0.500 0.500 0.500 (multiplicity 1)
O 0.000 0.500 0.500 (multiplicity 2)

Results
VASP energy, eV/atom: -11.35

---

A PBEsol-optimized structure of InBr2N. Source: Alexandria via LeMat-Bulk, functional meta-GGA SCAN.

Lattice parameters (Å, degrees): 9.479 9.479 9.479 90.00 90.00 90.00
Space group Fd-3m (No. 227, origin choice 2)
Unique sites:
In 0.125 0.125 0.125 (multiplicity 8)
Br 0.000 0.000 0.500 (multiplicity 16)
N 0.125 0.125 0.625 (multiplicity 8)

Results
VASP energy, eV/atom: -19.72

---

A PBEsol-optimized structure of CrOs2Pt. Source: Alexandria via LeMat-Bulk, functional meta-GGA SCAN.

Lattice parameters (Å, degrees): 8.886 2.675 4.659 90.00 100.96 90.00
Space group C2/m (No. 12)
Unique sites:
Cr 0.000 0.000 0.000 (multiplicity 2)
Os 0.241 0.500 0.234 (multiplicity 4)
Pt 0.000 0.500 0.500 (multiplicity 2)

Results
E_form, kJ/mol of formula units: 11

---

A PBEsol-optimized structure of Li3Sb. Source: Alexandria via LeMat-Bulk, functional meta-GGA SCAN.

Lattice parameters (Å, degrees): 4.6400 4.6400 8.2513 90.00 90.00 120.00
Space group P6_3/mmc (No. 194)
Unique sites:
Li 0.0000 0.0000 0.2500 (multiplicity 2)
Li 0.3333 0.6667 0.0876 (multiplicity 4)
Sb 0.3333 0.6667 0.7500 (multiplicity 2)

Results
Polymorph energy (0 for the lowest one), eV/atom: 0.000

---

A PBEsol-optimized structure of Mn2BeCu. Source: Alexandria via LeMat-Bulk, functional meta-GGA SCAN.

Lattice parameters (Å, degrees): 2.802 3.621 3.969 90.00 90.00 90.00
Space group Pmmm (No. 47)
Unique sites:
Mn 0.000 0.000 0.000 (multiplicity 1)
Mn 0.500 0.500 0.000 (multiplicity 1)
Be 0.000 0.500 0.500 (multiplicity 1)
Cu 0.500 0.000 0.500 (multiplicity 1)

Results
E_form, kJ/mol of formula units: 7

---

A PBEsol-optimized structure of FeCo2Mo. Source: Alexandria via LeMat-Bulk, functional meta-GGA SCAN.

Lattice parameters (Å, degrees): 3.575 3.575 7.071 90.00 90.00 90.00
Space group I4/mmm (No. 139)
Unique sites:
Fe 0.000 0.000 0.000 (multiplicity 2)
Co 0.000 0.500 0.250 (multiplicity 4)
Mo 0.000 0.000 0.500 (multiplicity 2)

Results
Polymorph energy (0 for the lowest one), eV/atom: 0.101
E_form, kJ/mol of formula units: 55

---

A PBEsol-optimized structure of SiAg3S. Source: Alexandria via LeMat-Bulk, functional meta-GGA SCAN.

Lattice parameters (Å, degrees): 4.707 4.707 4.707 90.00 90.00 90.00
Space group Pm-3m (No. 221)
Unique sites:
Si 0.000 0.000 0.000 (multiplicity 1)
Ag 0.000 0.500 0.500 (multiplicity 3)
S 0.500 0.500 0.500 (multiplicity 1)

Results
VASP energy, eV/atom: -22.01

---

A PBEsol-optimized structure of Pt3ClF. Source: Alexandria via LeMat-Bulk, functional meta-GGA SCAN.

Lattice parameters (Å, degrees): 4.440 4.440 4.440 90.00 90.00 90.00
Space group Pm-3m (No. 221)
Unique sites:
Pt 0.000 0.000 0.500 (multiplicity 3)
Cl 0.000 0.000 0.000 (multiplicity 1)
F 0.500 0.500 0.500 (multiplicity 1)

Results
VASP energy, eV/atom: -43.30

---

A PBEsol-optimized structure of SiPtSe2. Source: Alexandria via LeMat-Bulk, functional meta-GGA SCAN.

Lattice parameters (Å, degrees): 2.902 4.774 4.828 90.00 90.00 90.00
Space group Pmmm (No. 47)
Unique sites:
Si 0.000 0.000 0.000 (multiplicity 1)
Pt 0.500 0.500 0.000 (multiplicity 1)
Se 0.000 0.500 0.500 (multiplicity 1)
Se 0.500 0.000 0.500 (multiplicity 1)

Results
VASP energy, eV/atom: -29.56

---

A PBEsol-optimized structure of YIrRh. Source: Alexandria via LeMat-Bulk, functional meta-GGA SCAN.

Lattice parameters (Å, degrees): 3.423 3.423 9.292 90.00 90.00 90.00
Space group I4mm (No. 107)
Unique sites:
Y 0.000 0.000 0.000 (multiplicity 2)
Ir 0.000 0.000 0.693 (multiplicity 2)
Rh 0.000 0.000 0.300 (multiplicity 2)

Results
Polymorph energy (0 for the lowest one), eV/atom: 0.000
E_form, kJ/mol of formula units: -76

---

A PBEsol-optimized structure of TaAgRu2. Source: Alexandria via LeMat-Bulk, functional meta-GGA SCAN.

Lattice parameters (Å, degrees): 3.103 4.589 8.725 90.00 90.00 90.00
Space group Cmmm (No. 65)
Unique sites:
Ta 0.000 0.000 0.000 (multiplicity 2)
Ag 0.000 0.000 0.500 (multiplicity 2)
Ru 0.000 0.500 0.233 (multiplicity 4)

Results
Polymorph energy (0 for the lowest one), eV/atom: 0.013
E_form, kJ/mol of formula units: 57

---

A PBEsol-optimized structure of Ca2Si3PbO9. Source: Alexandria via LeMat-Bulk, functional meta-GGA SCAN.

Lattice parameters (Å, degrees): 6.699 6.736 9.531 82.80 69.54 76.74
Space group P-1 (No. 2)
Unique sites:
Ca 0.067 0.445 0.169 (multiplicity 2)
Ca 0.237 0.270 0.494 (multiplicity 2)
Si 0.159 0.906 0.219 (multiplicity 2)
Si 0.282 0.765 0.485 (multiplicity 2)
Si 0.484 0.440 0.800 (multiplicity 2)
Pb 0.280 0.907 0.845 (multiplicity 2)
O 0.027 0.229 0.743 (multiplicity 2)
O 0.093 0.112 0.125 (multiplicity 2)
O 0.104 0.624 0.560 (multiplicity 2)
O 0.196 0.957 0.374 (multiplicity 2)
O 0.238 0.528 0.905 (multiplicity 2)
O 0.364 0.871 0.592 (multiplicity 2)
O 0.371 0.385 0.240 (multiplicity 2)
O 0.398 0.768 0.122 (multiplicity 2)
O 0.490 0.362 0.638 (multiplicity 2)

Results
VASP energy, eV/atom: -15.07

---

A PBEsol-optimized structure of CuHgSe2. Source: Alexandria via LeMat-Bulk, functional meta-GGA SCAN.

Lattice parameters (Å, degrees): 5.666 7.568 4.540 90.00 123.79 90.00
Space group C2/m (No. 12)
Unique sites:
Cu 0.000 0.000 0.000 (multiplicity 2)
Hg 0.000 0.500 0.000 (multiplicity 2)
Se 0.250 0.250 0.500 (multiplicity 4)

Results
VASP energy, eV/atom: -30.72